# 1
Here is a geometry-optimized Ga2CoNi7As2 structure from Alexandria. Energies are from PBE.

Cell lengths 13.8826, 13.8826, 13.8826 Å; angles 165.81, 165.81, 20.11 degrees
Closest atoms and distances in Å follow each position.
Fractional positions:
Ga1 0.1309 0.1309 0.0000  5 Ni 2.47-2.51
Ga2 0.8691 0.8691 0.0000  5 Ni 2.47-2.51
Co1 0.5000 0.5000 0.0000  12 Ni 2.42-2.48
Ni1 0.0000 0.0000 0.0000  4 Co 2.42, 8 Ni 2.48
Ni2 0.0656 0.5656 0.5000  6 Ni 2.42-2.48, 2 Ga 2.47, 2 Co 2.48
Ni3 0.2227 0.2227 0.0000  5 As 2.32-2.56, 1 Ga 2.51
Ni4 0.4344 0.9344 0.5000  6 Ni 2.42-2.48, 2 Ga 2.47, 2 Co 2.48
Ni5 0.5656 0.0656 0.5000  6 Ni 2.42-2.48, 2 Ga 2.47, 2 Co 2.48
Ni6 0.7773 0.7773 0.0000  5 As 2.32-2.56, 1 Ga 2.51
Ni7 0.9344 0.4344 0.5000  6 Ni 2.42-2.48, 2 Ga 2.47, 2 Co 2.48
As1 0.3077 0.3077 0.0000  5 Ni 2.32-2.56
As2 0.6923 0.6923 0.0000  5 Ni 2.32-2.56

Formation energy from the elements   -0.055 eV per atom
Space-group type   No. 139
N(E_F)   9.36 states/eV/f.u.



# 2
Here is a geometry-optimized YHfTa2Si structure from Alexandria. Energies are from PBE.

Cell lengths 4.9806, 4.9806, 5.0193 Å; angles 90.00, 90.00, 90.00 degrees
Closest atoms and distances in Å follow each position.
Fractional positions:
Y1 0.0000 0.0000 0.0000  4 Si 3.52, 8 Ta 3.54
Hf1 0.5000 0.5000 0.5000  4 Ta 2.49, 2 Si 2.51
Ta1 0.0000 0.5000 0.5000  2 Hf 2.49
Ta2 0.5000 0.0000 0.5000  2 Hf 2.49
Si1 0.5000 0.5000 0.0000  2 Hf 2.51

Uncorrected formation energy   110.9 kJ per mole of atoms
Space-group type   No. 123
N(E_F)   6.19 states/eV/f.u.



# 3
Here is a geometry-optimized PrSm5Er structure from Alexandria. Energies are from PBE.

Cell lengths 7.6908, 7.6908, 7.6908 Å; angles 121.49, 80.80, 129.61 degrees
Closest atoms and distances in Å follow each position.
Fractional positions:
Pr1 0.0000 0.0000 0.0000  4 Sm 3.57-3.61
Sm1 0.2514 0.5010 0.7504  1 Er 3.26, 3 Sm 3.27-3.31
Sm2 0.4968 0.3019 0.8051  2 Sm 2.90-2.93, 1 Er 2.93
Sm3 0.4968 0.6917 0.1949  2 Sm 2.90-2.93, 1 Er 2.93
Sm4 0.7506 0.5010 0.2496  1 Er 3.26, 3 Sm 3.27-3.31
Sm5 0.7679 0.2679 0.5000  2 Sm 2.90, 1 Er 2.95
Er1 0.2178 0.7178 0.5000  5 Sm 2.93-3.26

Formation energy from the elements   0.873 eV per atom
Polymorph energy (0 for the lowest one)   807 meV per atom
Space-group type   No. 44
N(E_F)   10.33 states/eV/f.u.



# 4
Here is a geometry-optimized PaTi2In structure from Alexandria. Energies are from PBE.

Cell lengths 4.6938, 4.6938, 3.6017 Å; angles 90.00, 90.00, 90.00 degrees
Closest atoms and distances in Å follow each position.
Fractional positions:
Pa1 0.0000 0.0000 0.0000  8 Ti 2.96
Ti1 0.0000 0.5000 0.5000  4 In 2.96, 4 Pa 2.96
Ti2 0.5000 0.0000 0.5000  4 In 2.96, 4 Pa 2.96
In1 0.5000 0.5000 0.0000  8 Ti 2.96

Formation energy from the elements   -0.060 eV per atom
Polymorph energy (0 for the lowest one)   0 meV per atom
Space-group type   No. 123
N(E_F)   5.64 states/eV/f.u.



# 5
Here is a geometry-optimized La3Ni2Cl structure from Alexandria. Energies are from PBE.

Cell lengths 8.1522, 8.1522, 9.5497 Å; angles 90.84, 90.84, 149.27 degrees
Closest atoms and distances in Å follow each position.
Fractional positions:
La1 0.1452 0.8548 0.7500  4 Ni 2.77-3.05, 2 Cl 3.06
La2 0.1958 0.4723 0.9302  2 Ni 2.57-2.75
La3 0.4723 0.1958 0.4302  2 Ni 2.57-2.75
La4 0.5277 0.8042 0.5698  2 Ni 2.57-2.75
La5 0.8042 0.5277 0.0698  2 Ni 2.57-2.75
La6 0.8548 0.1452 0.2500  4 Ni 2.77-3.05, 2 Cl 3.06
Ni1 0.0000 0.5000 0.5000  2 La 2.57, 2 Ni 2.68
Ni2 0.2444 0.7556 0.2500  2 Ni 2.68, 4 La 2.75-2.77
Ni3 0.5000 0.0000 0.0000  2 La 2.57, 2 Ni 2.68
Ni4 0.7556 0.2444 0.7500  2 Ni 2.68, 4 La 2.75-2.77
Cl1 0.4930 0.5070 0.2500  4 La 2.97-3.06
Cl2 0.5070 0.4930 0.7500  4 La 2.97-3.06

Uncorrected formation energy   -58.6 kJ per mole of atoms
Space-group type   No. 15
N(E_F)   6.71 states/eV/f.u.



# 6
Here is a geometry-optimized CaSc4Pd5 structure from Alexandria. Energies are from PBE.

Cell lengths 3.3103, 3.3103, 17.2347 Å; angles 90.00, 90.00, 90.00 degrees
Closest atoms and distances in Å follow each position.
Fractional positions:
Ca1 0.0000 0.0000 0.0000  8 Pd 3.14, 4 Ca 3.31
Sc1 0.0000 0.0000 0.2074  8 Pd 2.77-2.92
Sc2 0.0000 0.0000 0.4031  8 Pd 2.85-2.88
Sc3 0.0000 0.0000 0.5969  8 Pd 2.85-2.88
Sc4 0.0000 0.0000 0.7926  8 Pd 2.77-2.92
Pd1 0.5000 0.5000 0.1215  4 Sc 2.77
Pd2 0.5000 0.5000 0.3087  8 Sc 2.85-2.92
Pd3 0.5000 0.5000 0.5000  8 Sc 2.88
Pd4 0.5000 0.5000 0.6913  8 Sc 2.85-2.92
Pd5 0.5000 0.5000 0.8785  4 Sc 2.77

Formation energy from the elements   -0.865 eV per atom
Space-group type   No. 123
N(E_F)   5.87 states/eV/f.u.



# 7
Here is a geometry-optimized GaFe2Mo2Ru5 structure from Alexandria. Energies are from PBE.

Cell lengths 8.5477, 8.5477, 3.8687 Å; angles 90.00, 90.00, 90.00 degrees
Closest atoms and distances in Å follow each position.
Fractional positions:
Ga1 0.0000 0.0000 0.0000  8 Ru 2.66
Ga2 0.5000 0.5000 0.0000  8 Ru 2.66
Fe1 0.1325 0.3675 0.0000  6 Ru 2.45-2.51, 3 Mo 2.50-2.51
Fe2 0.3675 0.8675 0.0000  6 Ru 2.45-2.51, 3 Mo 2.50-2.51
Fe3 0.6325 0.1325 0.0000  6 Ru 2.45-2.51, 3 Mo 2.50-2.51
Fe4 0.8675 0.6325 0.0000  6 Ru 2.45-2.51, 3 Mo 2.50-2.51
Mo1 0.1603 0.6603 0.0000  3 Fe 2.50-2.51, 2 Ru 2.74
Mo2 0.3397 0.1603 0.0000  3 Fe 2.50-2.51, 2 Ru 2.74
Mo3 0.6603 0.8397 0.0000  3 Fe 2.50-2.51, 2 Ru 2.74
Mo4 0.8397 0.3397 0.0000  3 Fe 2.50-2.51, 2 Ru 2.74
Ru1 0.0000 0.5000 0.5000  4 Fe 2.51, 4 Ru 2.65, 4 Mo 2.74
Ru2 0.0779 0.1996 0.5000  2 Fe 2.45, 4 Ru 2.59-2.69, 2 Ga 2.66
Ru3 0.1996 0.9221 0.5000  2 Fe 2.45, 4 Ru 2.59-2.69, 2 Ga 2.66
Ru4 0.3004 0.4221 0.5000  2 Fe 2.45, 4 Ru 2.59-2.69, 2 Ga 2.66
Ru5 0.4221 0.6996 0.5000  2 Fe 2.45, 4 Ru 2.59-2.69, 2 Ga 2.66
Ru6 0.5000 0.0000 0.5000  4 Fe 2.51, 4 Ru 2.65, 4 Mo 2.74
Ru7 0.5779 0.3004 0.5000  2 Fe 2.45, 4 Ru 2.59-2.69, 2 Ga 2.66
Ru8 0.6996 0.5779 0.5000  2 Fe 2.45, 4 Ru 2.59-2.69, 2 Ga 2.66
Ru9 0.8004 0.0779 0.5000  2 Fe 2.45, 4 Ru 2.59-2.69, 2 Ga 2.66
Ru10 0.9221 0.8004 0.5000  2 Fe 2.45, 4 Ru 2.59-2.69, 2 Ga 2.66

Formation energy from the elements   0.117 eV per atom
Space-group type   No. 127
N(E_F)   7.78 states/eV/f.u.



# 8
Here is a geometry-optimized LaNd3Ru structure from Alexandria. Energies are from PBE.

Cell lengths 7.5879, 7.5879, 7.5879 Å; angles 102.11, 120.08, 106.79 degrees
Closest atoms and distances in Å follow each position.
Fractional positions:
La1 0.0287 0.2500 0.2787  2 Ru 2.81-2.83
La2 0.9713 0.7500 0.7213  2 Ru 2.81-2.83
Nd1 0.4813 0.2483 0.7331  2 Ru 2.87
Nd2 0.5002 0.2089 0.2107  1 Ru 2.77
Nd3 0.5002 0.7895 0.7912  1 Ru 2.77
Nd4 0.5152 0.7483 0.2669  2 Ru 2.87
Nd5 0.9983 0.2895 0.7893  1 Ru 2.77
Nd6 0.9983 0.7089 0.2088  1 Ru 2.77
Ru1 0.5025 0.4995 0.5030  4 Nd 2.77-2.87, 2 La 2.81-2.83
Ru2 0.9966 0.9995 0.4970  4 Nd 2.77-2.87, 2 La 2.81-2.83

Formation energy from the elements   -0.100 eV per atom
Polymorph energy (0 for the lowest one)   17 meV per atom
Space-group type   No. 46
N(E_F)   5.92 states/eV/f.u.